Hf4InPb | PBE | optimized geometry

Its offset from the most stable computed form is 1.088 eV/atom. For the density of states at the Fermi level, the calculation gives 6.78 states/eV per cell. As for the energy relative to the elements: 989 meV/atom.

a b c (Å): 5.9320 5.9320 4.9020
angles (deg): 90.00 90.00 90.25
Fractional positions:
1 Hf 0.1720 0.8280 0.0000
2 Hf 0.3228 0.3228 0.5000
3 Hf 0.6772 0.6772 0.5000
4 Hf 0.8280 0.1720 0.0000
5 In 0.0000 0.0000 0.5000
6 Pb 0.5000 0.5000 0.0000



Ca2H2Ru | PBE | optimized geometry

For the density of states at the Fermi level, the calculation gives 2.03 states/eV per cell.

a b c (Å): 7.3162 7.3162 7.3162
angles (deg): 153.06 153.06 38.47
Fractional positions:
1 Ca 0.1485 0.1485 0.0000
2 Ca 0.8515 0.8515 0.0000
3 H 0.2500 0.7500 0.5000
4 H 0.7500 0.2500 0.5000
5 Ru 0.5000 0.5000 0.0000



RbTlPtBr6 | PBE | optimized geometry

Its energy relative to the elements, uncorrected is -0.704 eV per atom.

a b c (Å): 7.9328 7.9328 6.8515
angles (deg): 90.00 90.00 120.00
Fractional positions:
1 Rb 0.0000 0.0000 0.0000
2 Tl 0.3333 0.6667 0.5000
3 Pt 0.6667 0.3333 0.5000
4 Br 0.4108 0.0754 0.7139
5 Br 0.4108 0.3354 0.2861
6 Br 0.6646 0.0754 0.2861
7 Br 0.6646 0.5892 0.7139
8 Br 0.9246 0.3354 0.7139
9 Br 0.9246 0.5892 0.2861



CrInNi | PBE | optimized geometry

For the density of states at the Fermi level, the calculation gives 1.61 states/eV per cell. As for the energy relative to the elements: 293 meV/atom.

a b c (Å): 4.3483 4.3483 2.9139
angles (deg): 90.00 90.00 120.00
Fractional positions:
1 Cr 0.0000 0.0000 0.0000
2 In 0.6667 0.3333 0.4480
3 Ni 0.3333 0.6667 0.6626



| no. | E_tot (eV/f.u.) |
| --- | --- |
| 1 | -40.32 |
| 2 | -19.81 |
| 3 | -25.75 |
| 4 | -17.27 |